Version a
GGA-PBE NaIn12Sn6, relaxed; symmetry = R-3 (148); DOS at the Fermi energy = 7.8 states/eV/f.u.
1.0
8.079 -0.017 0.866
0.777 8.042 0.866
-0.019 -0.017 8.126
In Sn Na
12 6 1
Direct
0.504 0.502 0.211
0.789 0.496 0.498
0.498 0.789 0.496
0.735 0.736 0.035
0.502 0.211 0.504
0.736 0.035 0.735
0.211 0.504 0.502
0.965 0.265 0.264
0.265 0.264 0.965
0.264 0.965 0.265
0.496 0.498 0.789
0.035 0.735 0.736
0.130 0.132 0.622
0.870 0.868 0.378
0.378 0.870 0.868
0.622 0.130 0.132
0.868 0.378 0.870
0.132 0.622 0.130
0.000 0.000 0.000

Version b
GGA-PBE NaIn12Sn6, relaxed; symmetry = R-3m (166); DOS at the Fermi energy = 7.3 states/eV/f.u.
1.0
-1.527 8.510 1.564
-2.850 -4.451 7.018
8.720 -1.027 -0.324
In Sn Na
12 6 1
Direct
0.646 0.880 0.646
0.112 0.888 0.500
0.500 0.112 0.888
0.888 0.112 0.500
0.888 0.500 0.112
0.500 0.888 0.112
0.112 0.500 0.888
0.354 0.120 0.354
0.120 0.354 0.354
0.880 0.646 0.646
0.354 0.354 0.120
0.646 0.646 0.880
0.305 0.305 0.713
0.305 0.713 0.305
0.713 0.305 0.305
0.287 0.695 0.695
0.695 0.695 0.287
0.695 0.287 0.695
0.000 0.000 0.000

Top of the stability list: version a, leading by 0.014 eV/atom.

Version a
GGA-PBE NaIn2Sn3, relaxed; symmetry = C2/c (15); DOS at the Fermi energy = 2.5 states/eV/f.u.
1.0
-2.937 3.988 -2.999
-3.521 -4.376 1.405
0.263 4.955 9.447
Na Sn In
2 6 4
Direct
0.872 0.128 0.750
0.128 0.872 0.250
0.202 0.445 0.417
0.555 0.798 0.083
0.618 0.382 0.250
0.382 0.618 0.750
0.445 0.202 0.917
0.798 0.555 0.583
0.702 0.957 0.417
0.298 0.043 0.583
0.957 0.702 0.917
0.043 0.298 0.083

Version b
GGA-PBE NaIn2Sn3, relaxed; symmetry = Cmmm (65); DOS at the Fermi energy = 1.9 states/eV/f.u.
1.0
4.871 0.000 0.000
0.000 4.705 0.000
0.000 0.000 14.076
Sn Na In
6 2 4
Direct
0.500 0.500 0.000
0.500 0.000 0.168
0.500 0.000 0.500
0.500 0.500 0.332
0.500 0.500 0.668
0.500 0.000 0.832
0.000 0.000 0.000
0.000 0.500 0.500
0.000 0.000 0.666
0.000 0.500 0.166
0.000 0.000 0.334
0.000 0.500 0.834

Top of the stability list: version b, leading by 0.020 eV/atom.

Version a
GGA-PBE Na2In3Sn, relaxed; symmetry = P6_3/mmc (194); DOS at the Fermi energy = 2.3 states/eV/f.u.
1.0
-6.516 2.045 0.926
-0.305 3.479 -9.825
-2.777 -9.820 2.143
Sn Na In
4 8 12
Direct
0.466 0.667 0.333
0.966 0.333 0.667
0.034 0.667 0.333
0.534 0.333 0.667
0.250 0.019 0.510
0.750 0.510 0.490
0.250 0.490 0.981
0.250 0.490 0.510
0.750 0.000 0.000
0.750 0.510 0.019
0.250 0.000 0.000
0.750 0.981 0.490
0.990 0.166 0.834
0.510 0.166 0.834
0.990 0.166 0.331
0.010 0.834 0.166
0.510 0.669 0.834
0.990 0.669 0.834
0.510 0.166 0.331
0.490 0.834 0.166
0.490 0.331 0.166
0.010 0.331 0.166
0.490 0.834 0.669
0.010 0.834 0.669

Version b
GGA-PBE Na2In3Sn, relaxed; symmetry = Fmmm (69); DOS at the Fermi energy = 3.1 states/eV/f.u.
1.0
-3.860 -3.813 -3.146
0.897 -6.098 1.162
-4.421 5.371 7.730
Na In Sn
4 6 2
Direct
0.251 0.749 0.000
0.749 0.251 0.000
0.250 0.750 0.500
0.750 0.250 0.500
0.333 0.333 0.166
0.667 0.667 0.834
0.834 0.834 0.166
0.166 0.166 0.332
0.166 0.166 0.834
0.834 0.834 0.668
0.666 0.666 0.333
0.334 0.334 0.667

Top of the stability list: version a, leading by 0.009 eV/atom.

Version a
GGA-PBE Na4In2Sn5, relaxed; symmetry = P2/m (10); DOS at the Fermi energy = 4.5 states/eV/f.u.
1.0
-2.555 1.313 -1.565
-5.941 -5.994 4.670
2.013 9.395 4.598
Sn In Na
5 2 4
Direct
0.000 0.500 0.000
0.000 0.452 0.272
0.000 0.548 0.728
0.000 0.099 0.179
0.000 0.901 0.821
0.000 0.868 0.326
0.000 0.132 0.674
0.500 0.272 0.474
0.500 0.728 0.526
0.500 0.212 0.977
0.500 0.788 0.023

Version b
GGA-PBE Na4In2Sn5, relaxed; symmetry = P2/m (10); DOS at the Fermi energy = 4.6 states/eV/f.u.
1.0
3.230 0.000 0.000
0.000 8.281 0.017
0.000 -0.777 10.937
Na Sn In
4 5 2
Direct
0.500 0.304 0.444
0.500 0.158 0.902
0.500 0.842 0.098
0.500 0.696 0.556
0.000 0.420 0.714
0.000 0.206 0.176
0.000 0.580 0.286
0.000 0.500 0.000
0.000 0.794 0.824
0.000 0.947 0.365
0.000 0.053 0.635

Top of the stability list: version b, leading by 0.053 eV/atom.

Version a
GGA-PBE NaIn4Sn, relaxed; symmetry = Cmcm (63); DOS at the Fermi energy = 2.0 states/eV/f.u.
1.0
5.438 -0.694 0.264
0.662 5.955 2.061
-0.472 0.024 9.822
In Sn Na
8 2 2
Direct
0.750 0.958 0.582
0.750 0.291 0.918
0.250 0.540 0.418
0.750 0.790 0.918
0.750 0.460 0.582
0.250 0.709 0.082
0.250 0.042 0.418
0.250 0.210 0.082
0.750 0.383 0.234
0.250 0.617 0.766
0.750 0.874 0.251
0.250 0.126 0.749

Version b
GGA-PBE NaIn4Sn, relaxed; symmetry = Cmcm (63); DOS at the Fermi energy = 3.3 states/eV/f.u.
1.0
-1.503 0.281 -5.260
-7.755 -2.938 2.059
-1.711 7.124 3.721
Na Sn In
2 2 8
Direct
0.634 0.250 0.268
0.366 0.750 0.732
0.151 0.750 0.302
0.849 0.250 0.698
0.437 0.250 0.875
0.763 0.923 0.525
0.563 0.750 0.125
0.000 0.000 0.000
0.000 0.500 0.000
0.763 0.577 0.525
0.237 0.077 0.475
0.237 0.423 0.475

Top of the stability list: version a, leading by 0.109 eV/atom.

Version a
GGA-PBE NaInSn3, relaxed; symmetry = R-3 (148); DOS at the Fermi energy = 2.0 states/eV/f.u.
1.0
8.394 1.081 0.776
4.900 6.900 0.776
4.900 2.942 6.290
Sn In Na
6 2 2
Direct
0.909 0.393 0.849
0.607 0.151 0.091
0.091 0.607 0.151
0.151 0.091 0.607
0.393 0.849 0.909
0.849 0.909 0.393
0.418 0.418 0.418
0.582 0.582 0.582
0.835 0.835 0.835
0.165 0.165 0.165

Version b
GGA-PBE NaInSn3, relaxed; symmetry = Pm-3m (221); DOS at the Fermi energy = 4.1 states/eV/f.u.
1.0
5.464 0.000 0.000
0.000 5.464 0.000
0.000 0.000 5.464
In Na Sn
1 1 3
Direct
0.500 0.500 0.500
0.000 0.000 0.000
0.000 0.500 0.000
0.000 0.000 0.500
0.500 0.000 0.000

Version c
GGA-PBE NaInSn3, relaxed; symmetry = Pm-3m (221); DOS at the Fermi energy = 3.2 states/eV/f.u.
1.0
-1.179 2.211 5.146
-4.355 -3.669 0.579
3.522 -3.796 2.438
Sn Na In
3 1 1
Direct
0.500 0.000 0.000
0.000 0.000 0.500
0.000 0.500 0.000
0.500 0.500 0.500
0.000 0.000 0.000

Top of the stability list: version a, leading by 0.402 eV/atom.

Version a
GGA-PBE Na2In6Sn, relaxed; symmetry = Immm (71); DOS at the Fermi energy = 4.4 states/eV/f.u.
1.0
-0.970 5.180 0.065
1.831 0.418 -5.969
-7.753 -4.138 0.612
In Na Sn
6 2 1
Direct
0.500 0.742 0.000
0.301 0.555 0.602
0.500 0.258 0.000
0.301 0.047 0.602
0.699 0.953 0.398
0.699 0.445 0.398
0.109 0.608 0.217
0.891 0.392 0.783
0.000 0.000 0.000

Version b
GGA-PBE Na2In6Sn, relaxed; symmetry = C2/m (12); DOS at the Fermi energy = 4.3 states/eV/f.u.
1.0
-2.105 0.399 6.402
5.530 -3.238 2.022
5.527 3.468 1.603
In Na Sn
6 2 1
Direct
0.669 0.645 0.180
0.331 0.355 0.820
0.669 0.179 0.179
0.331 0.820 0.355
0.669 0.180 0.645
0.331 0.821 0.821
0.137 0.333 0.333
0.863 0.667 0.667
0.000 0.000 0.000

Top of the stability list: version b, leading by 0.070 eV/atom.

Version a
GGA-PBE Na3InSn, relaxed; symmetry = Pm-3m (221); DOS at the Fermi energy = 3.5 states/eV/f.u.
1.0
5.718 0.000 0.000
0.000 5.718 0.000
0.000 0.000 5.718
In Na Sn
1 3 1
Direct
0.000 0.000 0.000
0.500 0.000 0.000
0.000 0.000 0.500
0.000 0.500 0.000
0.500 0.500 0.500

Version b
GGA-PBE Na3InSn, relaxed; symmetry = P2_1/m (11); DOS at the Fermi energy = 1.5 states/eV/f.u.
1.0
-4.162 2.014 0.597
0.608 -0.864 7.156
3.688 7.352 0.915
In Sn Na
2 2 6
Direct
0.125 0.686 0.296
0.625 0.412 0.352
0.625 0.185 0.793
0.125 0.914 0.854
0.124 0.492 0.668
0.124 0.291 0.079
0.624 0.607 0.979
0.624 0.985 0.169
0.624 0.808 0.569
0.124 0.114 0.478

Top of the stability list: version b, leading by 0.489 eV/atom.